1.
Below is a relaxed MgAl2Ir crystal, with properties calculated at the PBE-GGA level.

Cell lengths 4.7493, 4.7493, 2.9252 Å; angles 90.00, 90.00, 109.67 degrees
Fractional coordinates of all 4 atoms:
Mg1 0.0000 0.0000 0.0000
Al1 0.0000 0.5000 0.5000
Al2 0.5000 0.0000 0.5000
Ir1 0.5000 0.5000 0.0000

Results
DFT formation energy = -289 meV per atom
SG = Cmmm (65)
Total magnetic moment = 0.0 μB/cell
Crystal system = orthorhombic
Uncorrected energy = -4.774 eV per atom

---

2.
Below is a relaxed Mg2AlIr crystal, with properties calculated at the PBE-GGA level.

Cell lengths 2.8718, 2.8718, 9.1241 Å; angles 90.00, 90.00, 114.24 degrees
Fractional coordinates of all 4 atoms:
Mg1 0.0000 0.0000 0.2311
Mg2 0.0000 0.0000 0.7689
Al1 0.5000 0.5000 0.5000
Ir1 0.5000 0.5000 0.0000

Results
DFT formation energy = -55 meV per atom
SG = Cmmm (65)
Total magnetic moment = 0.0 μB/cell
Crystal system = orthorhombic
Uncorrected energy = -4.003 eV per atom

---

- total magnetic moment of number 2 (Mg2AlIr)?
  0.0 μB/cell

---

What did the first record say?
Below is a relaxed MgAl2Ir crystal, with properties calculated at the PBE-GGA level.

Cell lengths 4.7493, 4.7493, 2.9252 Å; angles 90.00, 90.00, 109.67 degrees
Fractional coordinates of all 4 atoms:
Mg1 0.0000 0.0000 0.0000
Al1 0.0000 0.5000 0.5000
Al2 0.5000 0.0000 0.5000
Ir1 0.5000 0.5000 0.0000

Results
DFT formation energy = -289 meV per atom
SG = Cmmm (65)
Total magnetic moment = 0.0 μB/cell
Crystal system = orthorhombic
Uncorrected energy = -4.774 eV per atom

---

- Which value of uncorrected energy does entry 2 give?
  -4.003 eV per atom